# 1
CeInH6Ir2 after structural relaxation. Source: Alexandria, functional PBE.

Cell: 4.6507 4.6507 6.1698 Å, 67.86 67.86 60.00°
Last column: magnetic moment on the atom in μB.
Fractional positions:
Ir1 0.7849 0.7849 0.6455  0.02
Ir2 0.2152 0.2152 0.3545  0.02
H1 0.4366 0.4366 0.1683  0.00
H2 0.0415 0.5634 0.8317  0.00
H3 0.9585 0.4366 0.1683  0.00
H4 0.5634 0.5634 0.8317  0.00
H5 0.4366 0.9585 0.1683  0.00
H6 0.5634 0.0415 0.8317  0.00
In1 0.5000 0.5000 0.5000  0.00
Ce1 0.0000 0.0000 0.0000  0.89

- space-group type = R-3m, No. 166
- raw total energy (eV/atom) = -4.9696
- spin magnetization (μB per formula unit) = 1.004
- crystal system = trigonal

---

# 2
Ce6In2HN after structural relaxation. Source: Alexandria, functional PBE.

Cell: 6.9675 6.9675 6.9733 Å, 60.02 60.02 89.99°
Last column: magnetic moment on the atom in μB.
Fractional positions:
H1 0.5000 0.5000 0.0000  -0.01
In1 0.7500 0.2500 0.5000  -0.03
In2 0.2500 0.7500 0.5000  -0.03
Ce1 0.7538 0.7538 0.0000  0.91
Ce2 0.7537 0.2463 0.0000  0.91
Ce3 0.2458 0.2458 0.5084  0.91
Ce4 0.7542 0.7542 0.4916  0.91
Ce5 0.2462 0.2462 0.0000  0.91
Ce6 0.2463 0.7537 0.0000  0.91
N1 0.0000 0.0000 0.0000  -0.03

- space-group type = I4/mmm, No. 139
- raw total energy (eV/atom) = -5.8400
- spin magnetization (μB per formula unit) = 6.980
- crystal system = tetragonal